Version a
DFT (PBE) results for PmHoIrPt after structural relaxation.

a = 4.317 Å, b = 3.882 Å, c = 10.777 Å
α = 90.00°, β = 90.00°, γ = 90.00°
Fractional positions:
Pm1 0.000 0.000 0.000
Pm2 0.000 0.500 0.500
Ho1 0.500 0.000 0.715
Ho2 0.500 0.500 0.215
Ir1 0.000 0.000 0.267
Ir2 0.000 0.500 0.767
Pt1 0.500 0.000 0.438
Pt2 0.500 0.500 0.938


Version b
DFT (PBE) results for PmHoIrPt after structural relaxation.

a = 7.001 Å, b = 7.001 Å, c = 7.001 Å
α = 90.00°, β = 90.00°, γ = 90.00°
Fractional positions:
Pm1 0.000 0.000 0.000
Pm2 0.000 0.500 0.500
Pm3 0.500 0.000 0.500
Pm4 0.500 0.500 0.000
Ho1 0.000 0.000 0.500
Ho2 0.000 0.500 0.000
Ho3 0.500 0.000 0.000
Ho4 0.500 0.500 0.500
Ir1 0.250 0.250 0.250
Ir2 0.250 0.750 0.750
Ir3 0.750 0.250 0.750
Ir4 0.750 0.750 0.250
Pt1 0.250 0.250 0.750
Pt2 0.250 0.750 0.250
Pt3 0.750 0.250 0.250
Pt4 0.750 0.750 0.750


The calculated energies rank the structures as follows, beginning with the most stable: version a, version b.


Version a
DFT (PBE) results for HoScIrPt after structural relaxation.

a = 6.721 Å, b = 6.721 Å, c = 6.721 Å
α = 90.00°, β = 90.00°, γ = 90.00°
Fractional positions:
Ho1 0.000 0.000 0.000
Ho2 0.000 0.500 0.500
Ho3 0.500 0.000 0.500
Ho4 0.500 0.500 0.000
Sc1 0.000 0.000 0.500
Sc2 0.000 0.500 0.000
Sc3 0.500 0.000 0.000
Sc4 0.500 0.500 0.500
Ir1 0.250 0.250 0.250
Ir2 0.250 0.750 0.750
Ir3 0.750 0.250 0.750
Ir4 0.750 0.750 0.250
Pt1 0.250 0.250 0.750
Pt2 0.250 0.750 0.250
Pt3 0.750 0.250 0.250
Pt4 0.750 0.750 0.750


Version b
DFT (PBE) results for HoScIrPt after structural relaxation.

a = 3.338 Å, b = 3.338 Å, c = 6.791 Å
α = 90.00°, β = 90.00°, γ = 90.00°
Fractional positions:
Ho1 0.000 0.000 0.000
Sc1 0.000 0.000 0.487
Ir1 0.500 0.500 0.262
Pt1 0.500 0.500 0.726


The calculated energies rank the structures as follows, beginning with the most stable: version b, version a.


Version a
DFT (PBE) results for SmHoIrPt after structural relaxation.

a = 6.981 Å, b = 6.981 Å, c = 6.981 Å
α = 90.00°, β = 90.00°, γ = 90.00°
Fractional positions:
Sm1 0.000 0.000 0.000
Sm2 0.000 0.500 0.500
Sm3 0.500 0.000 0.500
Sm4 0.500 0.500 0.000
Ho1 0.000 0.000 0.500
Ho2 0.000 0.500 0.000
Ho3 0.500 0.000 0.000
Ho4 0.500 0.500 0.500
Ir1 0.250 0.250 0.250
Ir2 0.250 0.750 0.750
Ir3 0.750 0.250 0.750
Ir4 0.750 0.750 0.250
Pt1 0.250 0.250 0.750
Pt2 0.250 0.750 0.250
Pt3 0.750 0.250 0.250
Pt4 0.750 0.750 0.750


Version b
DFT (PBE) results for SmHoIrPt after structural relaxation.

a = 4.312 Å, b = 3.868 Å, c = 10.749 Å
α = 90.00°, β = 90.00°, γ = 90.00°
Fractional positions:
Sm1 0.000 0.000 0.000
Sm2 0.000 0.500 0.500
Ho1 0.500 0.000 0.285
Ho2 0.500 0.500 0.785
Ir1 0.000 0.000 0.733
Ir2 0.000 0.500 0.233
Pt1 0.500 0.000 0.562
Pt2 0.500 0.500 0.062


The calculated energies rank the structures as follows, beginning with the most stable: version b, version a.


Version a
DFT (PBE) results for TbHoIrPt after structural relaxation.

a = 3.456 Å, b = 3.456 Å, c = 6.937 Å
α = 90.00°, β = 90.00°, γ = 90.00°
Fractional positions:
Tb1 0.000 0.000 0.000
Ho1 0.000 0.000 0.515
Ir1 0.500 0.500 0.755
Pt1 0.500 0.500 0.262


Version b
DFT (PBE) results for TbHoIrPt after structural relaxation.

a = 6.919 Å, b = 6.919 Å, c = 6.919 Å
α = 90.00°, β = 90.00°, γ = 90.00°
Fractional positions:
Tb1 0.000 0.000 0.000
Tb2 0.000 0.500 0.500
Tb3 0.500 0.000 0.500
Tb4 0.500 0.500 0.000
Ho1 0.000 0.000 0.500
Ho2 0.000 0.500 0.000
Ho3 0.500 0.000 0.000
Ho4 0.500 0.500 0.500
Ir1 0.250 0.250 0.750
Ir2 0.250 0.750 0.250
Ir3 0.750 0.250 0.250
Ir4 0.750 0.750 0.750
Pt1 0.250 0.250 0.250
Pt2 0.250 0.750 0.750
Pt3 0.750 0.250 0.750
Pt4 0.750 0.750 0.250


The calculated energies rank the structures as follows, beginning with the most stable: version a, version b.